# PmHo2Tm3 (GGA-PBE, relaxed)
data_PmHo2Tm3
_cell_length_a 17.278
_cell_length_b 7.057
_cell_length_c 6.099
_cell_angle_alpha 90.00
_cell_angle_beta 90.19
_cell_angle_gamma 90.00
_space_group_name_H-M_alt 'C 1 2/c 1'
_space_group_IT_number 15
loop_
_space_group_symop_operation_xyz
'x,y,z'
'-x,-y,-z'
'-x,y,-z+1/2'
'x,-y,z+1/2'
'x+1/2,y+1/2,z'
'-x+1/2,-y+1/2,-z'
'-x+1/2,y+1/2,-z+1/2'
'x+1/2,-y+1/2,z+1/2'
loop_
_atom_site_label
_atom_site_fract_x
_atom_site_fract_y
_atom_site_fract_z
Pm1 0.000 0.125 0.250
Ho1 0.167 0.375 0.418
Tm1 0.000 0.376 0.750
Tm2 0.168 0.125 0.916
# Energy above the most stable polymorph in this dataset ... 0.43 kcal/mol of atoms
# Energy of formation from the pure elements ... 0.024 eV per atom